Record 1
! GGA-PBE Na3DyTi2Nb2O12, relaxed; values from VASP
! Symmetry: P1
! Raw formation energy (meV/atom): -2723
! VASP energy (eV/atom): -7.922
! Fermi-level density of states (states/eV per cell): 0.00
&SYSTEM
  ibrav = 0, nat = 20, ntyp = 5
/
ATOMIC_SPECIES
Na 22.99 Na.upf
Dy 162.50 Dy.upf
Ti 47.87 Ti.upf
Nb 92.91 Nb.upf
O 16.00 O.upf
CELL_PARAMETERS angstrom
5.457 0.000 0.000
0.089 5.609 0.000
0.013 0.000 7.766
ATOMIC_POSITIONS angstrom
Na 0.000 0.000 0.000
Na 0.158 5.252 3.904
Na 2.722 2.643 0.039
Dy 2.730 2.298 3.904
Ti 2.863 5.325 5.804
Ti 5.438 2.562 2.017
Nb 2.856 5.334 1.883
Nb 5.471 2.624 5.921
O 0.381 2.581 0.041
O 1.214 1.182 2.358
O 1.235 1.175 5.435
O 1.750 3.830 2.355
O 1.759 3.854 5.447
O 2.432 5.464 7.756
O 3.151 0.046 3.918
O 3.856 1.599 6.007
O 3.872 1.589 1.805
O 4.438 4.405 6.108
O 4.463 4.367 1.657
O 4.985 2.865 3.873

***

Record 2
! GGA-PBE Ba3Nb2PbO9, relaxed; values from VASP
! Symmetry: P-3m1
! Raw formation energy (meV/atom): -2554
! VASP energy (eV/atom): -7.504
! Fermi-level density of states (states/eV per cell): 0.00
&SYSTEM
  ibrav = 0, nat = 15, ntyp = 4
/
ATOMIC_SPECIES
Ba 137.33 Ba.upf
Nb 92.91 Nb.upf
Pb 207.20 Pb.upf
O 16.00 O.upf
CELL_PARAMETERS angstrom
6.013 0.000 0.000
-3.007 5.208 0.000
0.000 0.000 7.960
ATOMIC_POSITIONS angstrom
Ba 0.000 0.000 0.000
Ba 0.000 3.472 5.712
Ba 3.007 1.736 2.248
Nb 0.000 3.472 1.320
Nb 3.007 1.736 6.639
Pb 0.000 0.000 3.980
O -1.503 2.604 0.000
O 0.000 1.820 2.305
O -1.430 4.298 2.305
O 1.576 0.910 5.655
O 3.007 0.000 0.000
O 1.503 2.604 0.000
O 1.430 4.298 2.305
O 4.437 0.910 5.655
O 3.007 3.388 5.655

***

Record 3
! GGA-PBE CaPr2Sc, relaxed; values from VASP
! Symmetry: Fm-3m
! VASP energy (eV/atom): -4.352
! Fermi-level density of states (states/eV per cell): 4.91
&SYSTEM
  ibrav = 0, nat = 4, ntyp = 3
/
ATOMIC_SPECIES
Ca 40.08 Ca.upf
Pr 140.91 Pr.upf
Sc 44.96 Sc.upf
CELL_PARAMETERS angstrom
0.000 4.064 4.064
4.064 0.000 4.064
4.064 4.064 0.000
ATOMIC_POSITIONS angstrom
Ca 0.000 0.000 0.000
Pr 2.032 2.032 2.032
Pr 6.096 6.096 6.096
Sc 4.064 4.064 4.064

***

Number 1: theoretical density 4.93 Mg/m³. Number 2: theoretical density 6.32 Mg/m³. Number 3: theoretical density 4.54 Mg/m³.